[1]
A geometry-optimized LiPS2 structure. Source: the Alexandria database, functional PBE.

## Properties
total energy = -4.13 eV/atom
symmetry = No. 166
M_tot = 0.000 μB/atom

Structure (POSCAR):
```
LiPS2
1.0
1.805 1.042 7.169
-1.805 1.042 7.169
0.000 -2.084 7.169
Li P S
1 1 2
Direct
0.000 0.000 0.000
0.500 0.500 0.500
0.105 0.105 0.105
0.895 0.895 0.895
```

[2]
A geometry-optimized NdCd2Ni structure. Source: the Alexandria database, functional PBE.

## Properties
total energy = -2.78 eV/atom
symmetry = No. 166
M_tot = 0.000 μB/atom

Structure (POSCAR):
```
NdCd2Ni
1.0
1.605 0.926 10.397
-1.605 0.926 10.397
0.000 -1.853 10.397
Nd Cd Ni
1 2 1
Direct
0.000 0.000 0.000
0.104 0.104 0.104
0.896 0.896 0.896
0.500 0.500 0.500
```

[3]
A geometry-optimized NiGe2Mo structure. Source: the Alexandria database, functional PBE.

## Properties
total energy = -6.20 eV/atom
symmetry = No. 122
M_tot = 0.000 μB/atom

Structure (POSCAR):
```
NiGe2Mo
1.0
-3.306 3.306 2.830
3.306 -3.306 2.830
3.306 3.306 -2.830
Ni Ge Mo
2 4 2
Direct
0.000 0.000 0.000
0.750 0.250 0.500
0.089 0.625 0.964
0.375 0.339 0.464
0.661 0.125 0.036
0.875 0.911 0.536
0.250 0.750 0.500
0.500 0.500 0.000
```

[4]
A geometry-optimized Sr3AlAu3 structure. Source: the Alexandria database, functional PBE.

## Properties
total energy = -3.36 eV/atom
symmetry = No. 12
M_tot = 0.000 μB/atom

Structure (POSCAR):
```
Sr3AlAu3
1.0
5.968 -2.236 0.000
5.968 2.236 0.000
-5.572 0.000 14.701
Sr Al Au
6 2 6
Direct
0.018 0.018 0.384
0.102 0.102 0.921
0.243 0.243 0.232
0.757 0.757 0.768
0.898 0.898 0.079
0.982 0.982 0.616
0.261 0.261 0.589
0.739 0.739 0.411
0.356 0.356 0.455
0.386 0.386 0.922
0.452 0.452 0.754
0.548 0.548 0.246
0.614 0.614 0.078
0.644 0.644 0.545
```

[5]
A geometry-optimized NaAcSn2Pd5 structure. Source: the Alexandria database, functional PBE.

## Properties
total energy = -4.91 eV/atom
symmetry = No. 123
M_tot = 0.000 μB/atom

Structure (POSCAR):
```
NaAcSn2Pd5
1.0
4.375 0.000 0.000
0.000 4.375 0.000
0.000 0.000 10.153
Na Ac Sn Pd
1 1 2 5
Direct
0.000 0.000 0.000
0.000 0.000 0.500
0.500 0.500 0.142
0.500 0.500 0.858
0.000 0.500 0.288
0.000 0.500 0.712
0.500 0.000 0.288
0.500 0.000 0.712
0.500 0.500 0.500
```

[6]
A geometry-optimized KNbAg2I8 structure. Source: the Alexandria database, functional PBE.

## Properties
total energy = -2.94 eV/atom
symmetry = No. 2
M_tot = 0.000 μB/atom

Structure (POSCAR):
```
KNbAg2I8
1.0
7.320 0.000 0.000
-3.015 8.111 0.000
-0.636 -3.745 9.271
K Nb Ag I
1 1 2 8
Direct
0.000 0.000 0.000
0.000 0.000 0.500
0.389 0.378 0.853
0.611 0.622 0.147
0.056 0.777 0.242
0.102 0.808 0.642
0.401 0.227 0.554
0.488 0.747 0.947
0.512 0.253 0.053
0.599 0.773 0.446
0.898 0.192 0.358
0.944 0.223 0.758
```

[7]
A geometry-optimized TbAl2Pd3 structure. Source: the Alexandria database, functional PBE.

## Properties
total energy = -5.54 eV/atom
symmetry = No. 194
M_tot = 0.000 μB/atom

Structure (POSCAR):
```
TbAl2Pd3
1.0
4.367 0.000 0.000
-2.183 3.782 0.000
0.000 0.000 12.775
Tb Al Pd
2 4 6
Direct
0.000 0.000 0.250
0.000 0.000 0.750
0.333 0.667 0.074
0.333 0.667 0.426
0.667 0.333 0.574
0.667 0.333 0.926
0.000 0.000 0.000
0.000 0.000 0.500
0.333 0.667 0.627
0.333 0.667 0.873
0.667 0.333 0.127
0.667 0.333 0.373
```

[8]
A geometry-optimized Y2RuN structure. Source: the Alexandria database, functional PBE.

## Properties
total energy = -7.97 eV/atom
symmetry = No. 122
M_tot = 0.239 μB/atom

Structure (POSCAR):
```
Y2RuN
1.0
-3.293 3.293 3.825
3.293 -3.293 3.825
3.293 3.293 -3.825
Y Ru N
4 2 2
Direct
0.058 0.625 0.933
0.375 0.308 0.433
0.692 0.125 0.067
0.875 0.942 0.567
0.250 0.750 0.500
0.500 0.500 0.000
0.000 0.000 0.000
0.750 0.250 0.500
```

[9]
A geometry-optimized ScCr2CdNi structure. Source: the Alexandria database, functional PBE.

## Properties
total energy = -5.18 eV/atom
symmetry = No. 123
M_tot = 1.408 μB/atom

Structure (POSCAR):
```
ScCr2CdNi
1.0
4.767 0.000 0.000
0.000 4.767 0.000
0.000 0.000 4.428
Sc Cr Cd Ni
1 2 1 1
Direct
0.000 0.000 0.000
0.000 0.500 0.000
0.500 0.000 0.000
0.500 0.500 0.500
0.000 0.000 0.500
```

[10]
A geometry-optimized PmMgMnHg structure. Source: the Alexandria database, functional PBE.

## Properties
total energy = -3.97 eV/atom
symmetry = No. 216
M_tot = 1.090 μB/atom

Structure (POSCAR):
```
PmMgMnHg
1.0
0.000 3.589 3.589
3.589 0.000 3.589
3.589 3.589 0.000
Pm Mg Mn Hg
1 1 1 1
Direct
0.000 0.000 0.000
0.500 0.500 0.500
0.750 0.750 0.750
0.250 0.250 0.250
```

[11]
A geometry-optimized Eu2Si structure. Source: the Alexandria database, functional PBE.

## Properties
total energy = -9.08 eV/atom
symmetry = No. 62
M_tot = 0.000 μB/atom

Structure (POSCAR):
```
Eu2Si
1.0
7.691 0.000 0.000
0.000 4.888 0.000
0.000 0.000 9.378
Eu Si
8 4
Direct
0.026 0.250 0.177
0.150 0.250 0.575
0.350 0.750 0.075
0.474 0.750 0.677
0.526 0.250 0.323
0.650 0.250 0.925
0.850 0.750 0.425
0.974 0.750 0.823
0.248 0.250 0.890
0.252 0.750 0.390
0.748 0.250 0.610
0.752 0.750 0.110
```

[12]
A geometry-optimized K2BeSnO4 structure. Source: the Alexandria database, functional PBE.

## Properties
total energy = -5.54 eV/atom
symmetry = No. 82
M_tot = 0.000 μB/atom

Structure (POSCAR):
```
K2BeSnO4
1.0
-2.814 2.814 3.834
2.814 -2.814 3.834
2.814 2.814 -3.834
K Be Sn O
2 1 1 4
Direct
0.000 0.000 0.000
0.750 0.250 0.500
0.250 0.750 0.500
0.500 0.500 0.000
0.242 0.089 0.605
0.363 0.758 0.847
0.484 0.637 0.395
0.911 0.516 0.153
```